*one*
Here is an optimized crystal structure of Pr3SmCd from Alexandria via LeMat-Bulk. Energies are from PBE-GGA.

Cell: 6.506 10.211 10.211 Å, 83.75 100.22 100.22°
Element x y z (fractional)
Pr1 0.881 0.006 0.628
Pr2 0.009 0.336 0.462
Pr3 0.509 0.462 0.336
Pr4 0.491 0.538 0.664
Pr5 0.381 0.628 0.006
Pr6 0.874 0.736 0.867
Pr7 0.626 0.133 0.264
Pr8 0.126 0.264 0.133
Pr9 0.619 0.372 0.994
Pr10 0.119 0.994 0.372
Pr11 0.374 0.867 0.736
Pr12 0.991 0.664 0.538
Sm1 0.504 0.796 0.393
Sm2 0.496 0.204 0.607
Sm3 0.004 0.393 0.796
Sm4 0.996 0.607 0.204
Cd1 0.750 0.875 0.125
Cd2 0.250 0.125 0.875
Cd3 0.750 0.092 0.908
Cd4 0.250 0.908 0.092

Values from the calculation:
Total magnetization in μB/cell: 0.0
SG: C2/c, No. 15


*two*
Here is an optimized crystal structure of Pr3SmCd from Alexandria via LeMat-Bulk. Energies are from PBE-GGA.

Cell: 3.812 6.880 13.167 Å, 87.79 90.01 73.93°
Element x y z (fractional)
Sm1 0.225 0.551 0.749
Sm2 0.775 0.449 0.251
Pr1 0.635 0.732 0.971
Pr2 0.145 0.709 0.446
Pr3 0.365 0.268 0.029
Pr4 0.855 0.291 0.554
Pr5 0.043 0.915 0.190
Pr6 0.957 0.085 0.810
Cd1 0.558 0.883 0.629
Cd2 0.442 0.117 0.371

Values from the calculation:
Total magnetization in μB/cell: 0.0
SG: C2/m, No. 12


Bottom line: *two*, by a margin of 70 meV per atom.


*one*
Here is an optimized crystal structure of Pr2Sm2Cd from Alexandria via LeMat-Bulk. Energies are from PBE-GGA.

Cell: 8.722 6.430 9.280 Å, 68.56 57.40 47.29°
Element x y z (fractional)
Pr1 0.948 0.375 0.283
Pr2 0.052 0.625 0.717
Pr3 0.676 0.375 0.717
Pr4 0.324 0.625 0.283
Sm1 0.403 0.000 0.883
Sm2 0.272 0.000 0.572
Sm3 0.728 0.000 0.428
Sm4 0.597 0.000 0.117
Cd1 0.844 0.312 0.000
Cd2 0.156 0.688 0.000

Values from the calculation:
Total magnetization in μB/cell: 0.0
SG: C2/m, No. 12


*two*
Here is an optimized crystal structure of Pr2Sm2Cd from Alexandria via LeMat-Bulk. Energies are from PBE-GGA.

Cell: 3.717 3.717 12.014 Å, 98.90 98.90 90.00°
Element x y z (fractional)
Cd1 0.000 0.000 0.000
Sm1 0.414 0.414 0.828
Sm2 0.586 0.586 0.172
Pr1 0.194 0.194 0.388
Pr2 0.806 0.806 0.612

Values from the calculation:
Total magnetization in μB/cell: 0.0
SG: I4/mmm, No. 139


Bottom line: *two*, by a margin of 81 meV per atom.


*one*
Here is an optimized crystal structure of Pr2Sm3Cd3 from Alexandria via LeMat-Bulk. Energies are from PBE-GGA.

Cell: 5.013 5.011 9.413 Å, 90.00 90.00 90.00°
Element x y z (fractional)
Cd1 0.000 0.500 0.500
Cd2 0.000 0.500 0.000
Cd3 0.500 0.000 0.500
Sm1 0.500 0.500 0.730
Sm2 0.500 0.500 0.270
Sm3 0.500 0.000 0.000
Pr1 0.000 0.000 0.261
Pr2 0.000 0.000 0.739

Values from the calculation:
Total magnetization in μB/cell: 0.0
SG: Pmmm, No. 47


*two*
Here is an optimized crystal structure of Pr2Sm3Cd3 from Alexandria via LeMat-Bulk. Energies are from PBE-GGA.

Cell: 3.858 5.479 11.834 Å, 103.39 99.38 90.00°
Element x y z (fractional)
Cd1 0.885 0.885 0.770
Cd2 0.000 0.500 0.000
Cd3 0.115 0.115 0.230
Sm1 0.620 0.620 0.240
Sm2 0.380 0.380 0.760
Sm3 0.500 0.000 0.000
Pr1 0.267 0.767 0.535
Pr2 0.733 0.233 0.465

Values from the calculation:
Total magnetization in μB/cell: 0.0
SG: Immm, No. 71


Bottom line: *two*, by a margin of 49 meV per atom.


*one*
Here is an optimized crystal structure of Pr3CdSn3 from Alexandria via LeMat-Bulk. Energies are from PBE-GGA.

Cell: 6.398 9.465 9.465 Å, 120.00 90.00 90.00°
Element x y z (fractional)
Sn1 0.250 0.955 0.302
Sn2 0.250 0.347 0.045
Sn3 0.750 0.045 0.698
Sn4 0.750 0.302 0.347
Sn5 0.750 0.653 0.955
Sn6 0.250 0.698 0.653
Pr1 0.250 0.316 0.367
Pr2 0.750 0.684 0.633
Pr3 0.750 0.367 0.052
Pr4 0.250 0.052 0.684
Pr5 0.250 0.633 0.948
Pr6 0.750 0.948 0.316
Cd1 0.250 0.667 0.333
Cd2 0.750 0.333 0.667

Values from the calculation:
Total magnetization in μB/cell: 0.0
SG: P6_3/m, No. 176


*two*
Here is an optimized crystal structure of Pr3CdSn3 from Alexandria via LeMat-Bulk. Energies are from PBE-GGA.

Cell: 4.715 6.421 14.826 Å, 82.79 80.85 68.46°
Element x y z (fractional)
Sn1 0.990 0.794 0.225
Sn2 0.879 0.166 0.075
Sn3 0.010 0.206 0.775
Sn4 0.135 0.277 0.453
Sn5 0.121 0.834 0.925
Sn6 0.865 0.723 0.547
Pr1 0.735 0.756 0.774
Pr2 0.481 0.660 0.377
Pr3 0.397 0.284 0.922
Pr4 0.603 0.716 0.078
Pr5 0.519 0.340 0.623
Pr6 0.265 0.244 0.226
Cd1 0.227 0.931 0.615
Cd2 0.773 0.069 0.385

Values from the calculation:
Total magnetization in μB/cell: 0.0
SG: C2/m, No. 12


Bottom line: *two*, by a margin of 245 meV per atom.


*one*
Here is an optimized crystal structure of PrCd2Sn from Alexandria via LeMat-Bulk. Energies are from PBE-GGA.

Cell: 4.912 4.592 4.592 Å, 90.00 90.00 90.00°
Element x y z (fractional)
Cd1 0.000 0.000 0.500
Cd2 0.000 0.500 0.000
Pr1 0.500 0.500 0.500
Sn1 0.500 0.000 0.000

Values from the calculation:
Total magnetization in μB/cell: 0.0
SG: P4/mmm, No. 123


*two*
Here is an optimized crystal structure of PrCd2Sn from Alexandria via LeMat-Bulk. Energies are from PBE-GGA.

Cell: 3.387 3.387 11.815 Å, 81.76 81.76 60.00°
Element x y z (fractional)
Cd1 0.908 0.908 0.276
Cd2 0.092 0.092 0.724
Pr1 0.000 0.000 0.000
Sn1 0.500 0.500 0.500

Values from the calculation:
Total magnetization in μB/cell: 0.0
SG: R-3m, No. 166


Bottom line: *one*, by a margin of 616 meV per atom.


*one*
Here is an optimized crystal structure of Sr2PrCd3 from Alexandria via LeMat-Bulk. Energies are from PBE-GGA.

Cell: 3.976 3.976 12.116 Å, 90.00 90.00 90.00°
Element x y z (fractional)
Pr1 0.500 0.500 0.500
Sr1 0.500 0.500 0.171
Sr2 0.500 0.500 0.829
Cd1 0.000 0.000 0.652
Cd2 0.000 0.000 0.348
Cd3 0.000 0.000 0.000

Values from the calculation:
Total magnetization in μB/cell: 0.2
SG: P4/mmm, No. 123


*two*
Here is an optimized crystal structure of Sr2PrCd3 from Alexandria via LeMat-Bulk. Energies are from PBE-GGA.

Cell: 5.667 8.928 7.968 Å, 90.00 89.99 71.50°
Element x y z (fractional)
Cd1 0.499 0.000 0.238
Cd2 0.171 0.657 0.231
Cd3 0.829 0.343 0.231
Cd4 0.501 0.000 0.762
Cd5 0.171 0.657 0.769
Cd6 0.829 0.343 0.769
Sr1 0.666 0.668 0.500
Sr2 0.334 0.332 0.500
Sr3 0.000 0.000 0.500
Sr4 0.000 0.000 0.000
Pr1 0.665 0.670 0.000
Pr2 0.335 0.330 0.000

Values from the calculation:
Total magnetization in μB/cell: 0.0
SG: Cmmm, No. 65


Bottom line: *one*, by a margin of 5 meV per atom.


*one*
Here is an optimized crystal structure of TbPr6Cd2 from Alexandria via LeMat-Bulk. Energies are from PBE-GGA.

Cell: 3.858 6.822 12.115 Å, 75.69 80.84 73.57°
Element x y z (fractional)
Cd1 0.358 0.086 0.197
Cd2 0.642 0.914 0.803
Pr1 0.979 0.706 0.336
Pr2 0.310 0.790 0.590
Pr3 0.021 0.294 0.664
Pr4 0.316 0.491 0.877
Pr5 0.684 0.509 0.123
Pr6 0.690 0.210 0.410
Tb1 0.000 0.000 0.000

Values from the calculation:
Total magnetization in μB/cell: 0.0
SG: C2/m, No. 12


*two*
Here is an optimized crystal structure of TbPr6Cd2 from Alexandria via LeMat-Bulk. Energies are from PBE-GGA.

Cell: 6.282 9.890 9.890 Å, 73.40 85.15 85.15°
Element x y z (fractional)
Pr1 0.009 0.569 0.317
Pr2 0.509 0.317 0.569
Pr3 0.491 0.683 0.431
Pr4 0.664 0.097 0.351
Pr5 0.164 0.351 0.097
Pr6 0.687 0.267 0.967
Pr7 0.836 0.649 0.903
Pr8 0.313 0.733 0.033
Pr9 0.336 0.903 0.649
Pr10 0.991 0.431 0.683
Pr11 0.187 0.967 0.267
Pr12 0.813 0.033 0.733
Cd1 0.592 0.459 0.213
Cd2 0.092 0.213 0.459
Cd3 0.908 0.787 0.541
Cd4 0.408 0.541 0.787
Tb1 0.250 0.103 0.897
Tb2 0.750 0.897 0.103

Values from the calculation:
Total magnetization in μB/cell: 0.0
SG: C2/c, No. 15


Bottom line: *one*, by a margin of 62 meV per atom.


*one*
Here is an optimized crystal structure of TbPr4Cd from Alexandria via LeMat-Bulk. Energies are from PBE-GGA.

Cell: 6.475 9.209 8.575 Å, 113.27 100.12 112.08°
Element x y z (fractional)
Tb1 0.338 0.588 0.175
Tb2 0.662 0.412 0.825
Cd1 0.251 0.001 0.002
Cd2 0.749 0.999 0.998
Pr1 0.221 0.596 0.766
Pr2 0.758 0.711 0.618
Pr3 0.360 0.907 0.618
Pr4 0.955 0.830 0.234
Pr5 0.045 0.170 0.766
Pr6 0.779 0.404 0.234
Pr7 0.242 0.289 0.382
Pr8 0.640 0.093 0.382

Values from the calculation:
Total magnetization in μB/cell: 0.0
SG: C2/c, No. 15


*two*
Here is an optimized crystal structure of TbPr4Cd from Alexandria via LeMat-Bulk. Energies are from PBE-GGA.

Cell: 3.719 3.719 14.402 Å, 90.00 90.00 90.00°
Element x y z (fractional)
Pr1 0.000 0.000 0.646
Pr2 0.000 0.000 0.354
Pr3 0.500 0.500 0.174
Pr4 0.500 0.500 0.826
Tb1 0.000 0.000 0.000
Cd1 0.500 0.500 0.500

Values from the calculation:
Total magnetization in μB/cell: 0.0
SG: P4/mmm, No. 123


Bottom line: *two*, by a margin of 93 meV per atom.